Ac3PmY3Se8: optimized geometry, PBE.

Cell: 8.402 8.403 8.625 Å, 119.15 90.00 120.00°
Sites, in units of the cell vectors:
Ac 0.000 0.000 0.000
Ac 0.000 0.500 0.000
Ac 0.500 0.500 0.000
Pm 0.000 0.000 0.500
Y 0.500 0.000 0.500
Y 0.500 0.500 0.500
Y 0.000 0.500 0.500
Se 0.259 0.519 0.277
Se 0.741 0.481 0.723
Se 0.750 0.501 0.268
Se 0.250 0.499 0.732
Se 0.750 0.018 0.268
Se 0.250 0.982 0.732
Se 0.268 0.018 0.268
Se 0.732 0.982 0.732

Output
Volume in Å³ per cell: 436.1
Raw formation energy in kcal/mol of atoms: -43.07
Crystal system: trigonal
Total magnetization in μB per formula unit: 0.00
Space group: No. 166

---

LaYBi: optimized geometry, PBE.

Cell: 4.679 4.679 9.014 Å, 90.00 90.00 90.00°
Sites, in units of the cell vectors:
La 0.000 0.500 0.850
La 0.500 0.000 0.150
Y 0.500 0.500 0.500
Y 0.000 0.000 0.500
Bi 0.000 0.500 0.231
Bi 0.500 0.000 0.769

Output
Volume in Å³ per cell: 197.3
Crystal system: tetragonal
Energy of formation from the pure elements in eV per atom: -0.7041
Total magnetization in μB per formula unit: 0.00
Space group: No. 129

---

PdRuI2N: optimized geometry, PBE.

Cell: 5.508 5.508 3.674 Å, 90.00 90.00 90.00°
Sites, in units of the cell vectors:
I 0.000 0.500 0.000
I 0.500 0.000 0.000
Ru 0.000 0.000 0.000
Pd 0.500 0.500 0.500
N 0.000 0.000 0.500

Output
Volume in Å³ per cell: 111.5
Raw formation energy in kcal/mol of atoms: 12.51
Crystal system: tetragonal
Relative energy among the computed polymorphs in eV per atom: 0.0000
Total magnetization in μB per formula unit: 0.00
Space group: No. 123

---

Ac2HoAg: optimized geometry, PBE.

Cell: 3.952 3.952 8.923 Å, 90.00 90.00 90.00°
Sites, in units of the cell vectors:
Ac 0.000 0.000 0.778
Ac 0.000 0.000 0.222
Ho 0.500 0.500 0.500
Ag 0.500 0.500 0.000

Output
Volume in Å³ per cell: 139.3
Crystal system: tetragonal
Energy of formation from the pure elements in eV per atom: -0.0767
Relative energy among the computed polymorphs in eV per atom: 0.0000
Total magnetization in μB per formula unit: 0.00
Space group: No. 123

---

Hf2ScIr2: optimized geometry, PBE.

Cell: 7.941 7.941 3.003 Å, 90.00 90.00 90.00°
Last column: magnetic moment on the atom in μB.
Sites, in units of the cell vectors:
Sc 0.000 0.000 0.000  0.06
Sc 0.500 0.500 0.000  0.06
Ir 0.153 0.653 0.500  0.00
Ir 0.653 0.847 0.500  0.00
Ir 0.847 0.347 0.500  0.00
Ir 0.347 0.153 0.500  0.00
Hf 0.356 0.856 0.000  0.00
Hf 0.856 0.644 0.000  0.00
Hf 0.644 0.144 0.000  0.00
Hf 0.144 0.356 0.000  0.00

Output
Volume in Å³ per cell: 189.4
Crystal system: tetragonal
Energy of formation from the pure elements in eV per atom: -0.6682
Relative energy among the computed polymorphs in eV per atom: 0.1252
Total magnetization in μB per formula unit: 0.07
Space group: No. 127

---

TlReTe2N: optimized geometry, PBE.

Cell: 5.818 5.818 4.176 Å, 90.00 90.00 90.00°
Last column: magnetic moment on the atom in μB.
Sites, in units of the cell vectors:
Re 0.500 0.500 0.500  3.66
Tl 0.000 0.000 0.000  0.01
Te 0.000 0.500 0.000  0.00
Te 0.500 0.000 0.000  0.00
N 0.000 0.000 0.500  0.91

Output
Volume in Å³ per cell: 141.4
Raw formation energy in kcal/mol of atoms: 48.41
Crystal system: tetragonal
Relative energy among the computed polymorphs in eV per atom: 1.8883
Total magnetization in μB per formula unit: 5.78
Space group: No. 123

---

TePd3I: optimized geometry, PBE.

Cell: 7.209 8.356 8.356 Å, 62.76 89.60 89.60°
Sites, in units of the cell vectors:
Te 0.250 0.941 0.059
Te 0.750 0.059 0.941
Te 0.250 0.385 0.615
Te 0.750 0.615 0.385
Pd 0.556 0.735 0.068
Pd 0.944 0.932 0.265
Pd 0.444 0.265 0.932
Pd 0.056 0.068 0.735
Pd 0.052 0.268 0.932
Pd 0.448 0.068 0.732
Pd 0.948 0.732 0.068
Pd 0.552 0.932 0.268
Pd 0.500 0.616 0.621
Pd 0.000 0.379 0.384
Pd 0.500 0.384 0.379
Pd 0.000 0.621 0.616
I 0.751 0.546 0.901
I 0.749 0.099 0.454
I 0.249 0.454 0.099
I 0.251 0.901 0.546

Output
Volume in Å³ per cell: 447.5
Raw formation energy in kcal/mol of atoms: -2.72
Crystal system: monoclinic
Relative energy among the computed polymorphs in eV per atom: 0.0000
Total magnetization in μB per formula unit: 0.00
Space group: No. 15

---

Ce2NdAg: optimized geometry, PBE.

Cell: 3.519 3.519 9.278 Å, 90.00 90.00 90.00°
Last column: magnetic moment on the atom in μB.
Sites, in units of the cell vectors:
Nd 0.500 0.500 0.500  -0.01
Ag 0.500 0.500 0.000  0.00
Ce 0.000 0.000 0.778  0.66
Ce 0.000 0.000 0.222  0.66

Output
Volume in Å³ per cell: 114.9
Crystal system: tetragonal
Energy of formation from the pure elements in eV per atom: 0.0579
Relative energy among the computed polymorphs in eV per atom: 0.0000
Total magnetization in μB per formula unit: 1.51
Space group: No. 123

---

Tm4GaCu2Os: optimized geometry, PBE.

Cell: 4.852 4.852 8.431 Å, 73.28 73.28 60.00°
Sites, in units of the cell vectors:
Tm 0.380 0.380 0.859
Tm 0.871 0.871 0.388
Tm 0.129 0.129 0.612
Tm 0.620 0.620 0.141
Ga 0.000 0.000 0.000
Cu 0.747 0.747 0.760
Cu 0.253 0.253 0.240
Os 0.500 0.500 0.500

Output
Volume in Å³ per cell: 162.2
Crystal system: trigonal
Energy of formation from the pure elements in eV per atom: -0.4101
Total magnetization in μB per formula unit: 0.00
Space group: No. 166

---

DyHfSn: optimized geometry, PBE.

Cell: 3.531 5.019 5.019 Å, 120.00 90.00 90.00°
Sites, in units of the cell vectors:
Hf 0.116 0.000 0.000
Sn 0.238 0.333 0.667
Dy 0.646 0.667 0.333

Output
Volume in Å³ per cell: 77.0
Crystal system: trigonal
Energy of formation from the pure elements in eV per atom: -0.1139
Relative energy among the computed polymorphs in eV per atom: 0.4142
Total magnetization in μB per formula unit: 0.00
Space group: No. 156

---

TlZnSe2N: optimized geometry, PBE.

Cell: 5.494 5.494 4.333 Å, 90.00 90.00 90.00°
Last column: magnetic moment on the atom in μB.
Sites, in units of the cell vectors:
Tl 0.000 0.000 0.000  0.00
Zn 0.500 0.500 0.500  -0.01
Se 0.000 0.500 0.000  0.14
Se 0.500 0.000 0.000  0.14
N 0.000 0.000 0.500  1.12

Output
Volume in Å³ per cell: 130.8
Raw formation energy in kcal/mol of atoms: 27.93
Crystal system: tetragonal
Relative energy among the computed polymorphs in eV per atom: 0.5632
Total magnetization in μB per formula unit: 2.02
Space group: No. 123

---

AcCl: optimized geometry, PBE.

Cell: 4.852 4.369 7.095 Å, 90.00 90.00 90.00°
Last column: magnetic moment on the atom in μB.
Sites, in units of the cell vectors:
Ac 0.250 0.250 0.293  0.10
Ac 0.750 0.750 0.707  0.10
Cl 0.250 0.750 0.964  0.00
Cl 0.750 0.250 0.036  0.00

Output
Volume in Å³ per cell: 150.4
Raw formation energy in kcal/mol of atoms: -30.95
Crystal system: orthorhombic
Relative energy among the computed polymorphs in eV per atom: 0.0000
Total magnetization in μB per formula unit: 0.38
Space group: No. 59

---

Nd2ErPd: optimized geometry, PBE.

Cell: 5.112 3.611 8.726 Å, 90.05 89.99 44.89°
Sites, in units of the cell vectors:
Nd 0.878 0.999 0.536
Nd 0.378 0.999 0.229
Er 0.378 0.999 0.839
Pd 0.877 0.000 0.008

Output
Volume in Å³ per cell: 113.7
Crystal system: monoclinic
Energy of formation from the pure elements in eV per atom: -0.3896
Relative energy among the computed polymorphs in eV per atom: 0.0000
Total magnetization in μB per formula unit: 0.00
Space group: No. 8

---

YNi2Br: optimized geometry, PBE.

Cell: 5.489 5.489 3.531 Å, 72.02 72.02 119.58°
Sites, in units of the cell vectors:
Br 0.000 0.500 0.500
Ni 0.000 0.000 0.000
Ni 0.500 0.500 0.000
Y 0.500 0.000 0.500

Output
Volume in Å³ per cell: 73.1
Raw formation energy in kcal/mol of atoms: 1.58
Crystal system: monoclinic
Relative energy among the computed polymorphs in eV per atom: 0.5415
Total magnetization in μB per formula unit: 0.00
Space group: No. 12

---

HgPNO2: optimized geometry, PBE.

Cell: 4.056 4.056 5.521 Å, 90.00 90.00 90.00°
Last column: magnetic moment on the atom in μB.
Sites, in units of the cell vectors:
P 0.000 0.000 0.500  -0.56
Hg 0.000 0.000 0.000  0.04
O 0.000 0.500 0.000  0.35
O 0.500 0.000 0.000  0.35
N 0.500 0.500 0.500  1.41

Output
Volume in Å³ per cell: 90.8
Raw formation energy in kcal/mol of atoms: 42.70
Crystal system: tetragonal
Total magnetization in μB per formula unit: 1.75
Space group: No. 123

---

CeMn2Ge2P: optimized geometry, PBE.

Cell: 4.346 4.346 5.528 Å, 90.00 90.00 90.00°
Last column: magnetic moment on the atom in μB.
Sites, in units of the cell vectors:
Ce 0.000 0.000 0.500  0.11
Mn 0.500 0.000 0.000  2.28
Mn 0.000 0.500 0.000  2.28
Ge 0.500 0.500 0.731  -0.06
Ge 0.500 0.500 0.269  -0.06
P 0.000 0.000 0.000  -0.04

Output
Volume in Å³ per cell: 104.4
Crystal system: tetragonal
Energy of formation from the pure elements in eV per atom: -0.4367
Total magnetization in μB per formula unit: 4.59
Space group: No. 123

---

K2ZrIrO6: optimized geometry, PBE.

Cell: 5.739 5.740 8.117 Å, 90.00 90.00 90.00°
Last column: magnetic moment on the atom in μB.
Sites, in units of the cell vectors:
K 0.500 0.750 0.250  0.00
K 0.000 0.250 0.750  0.00
K 0.500 0.750 0.750  0.00
K 0.000 0.250 0.250  0.00
Zr 0.000 0.750 0.500  -0.01
Zr 0.500 0.250 0.000  -0.01
Ir 0.500 0.250 0.500  0.15
Ir 0.000 0.750 0.000  0.15
O 0.500 0.250 0.260  0.01
O 0.500 0.250 0.740  0.01
O 0.000 0.750 0.240  0.01
O 0.000 0.750 0.760  0.01
O 0.260 0.010 0.500  0.02
O 0.740 0.010 0.500  0.02
O 0.260 0.490 0.500  0.02
O 0.740 0.490 0.500  0.02
O 0.760 0.510 0.000  0.02
O 0.240 0.510 0.000  0.02
O 0.240 0.990 0.000  0.02
O 0.760 0.990 0.000  0.02

Output
Volume in Å³ per cell: 267.4
Raw formation energy in kcal/mol of atoms: -41.78
Crystal system: cubic
Total magnetization in μB per formula unit: 0.30
Space group: No. 225

---

La5CdRu: optimized geometry, PBE.

Cell: 6.318 6.318 12.338 Å, 75.59 75.59 73.98°
Sites, in units of the cell vectors:
La 0.945 0.584 0.130
La 0.199 0.554 0.558
La 0.584 0.945 0.630
La 0.002 0.998 0.250
La 0.446 0.801 0.942
La 0.554 0.199 0.058
La 0.998 0.002 0.750
La 0.416 0.055 0.370
La 0.801 0.446 0.442
La 0.055 0.416 0.870
Cd 0.427 0.573 0.250
Cd 0.573 0.427 0.750
Ru 0.000 0.000 0.000
Ru 0.000 0.000 0.500

Output
Volume in Å³ per cell: 449.8
Crystal system: monoclinic
Energy of formation from the pure elements in eV per atom: -0.1582
Relative energy among the computed polymorphs in eV per atom: 0.0000
Total magnetization in μB per formula unit: 0.00
Space group: No. 15

---

NaB2S: optimized geometry, PBE.

Cell: 6.280 6.280 5.156 Å, 52.48 52.48 90.00°
Sites, in units of the cell vectors:
Na 0.500 0.500 0.000
Na 0.250 0.750 0.500
S 0.000 0.000 0.000
S 0.750 0.250 0.500
B 0.695 0.125 0.250
B 0.055 0.625 0.250
B 0.375 0.305 0.750
B 0.875 0.945 0.750

Output
Volume in Å³ per cell: 103.3
Raw formation energy in kcal/mol of atoms: 23.33
Crystal system: tetragonal
Total magnetization in μB per formula unit: 0.00
Space group: No. 122

---

Th3HgB: optimized geometry, PBE.

Cell: 5.175 5.175 5.175 Å, 90.00 90.00 90.00°
Sites, in units of the cell vectors:
B 0.000 0.000 0.000
Hg 0.500 0.500 0.500
Th 0.000 0.500 0.000
Th 0.000 0.000 0.500
Th 0.500 0.000 0.000

Output
Volume in Å³ per cell: 138.6
Crystal system: cubic
Energy of formation from the pure elements in eV per atom: -0.0548
Total magnetization in μB per formula unit: 0.00
Space group: No. 221

---

Tb3PrTh2: optimized geometry, PBE.

Cell: 3.602 11.188 11.201 Å, 63.27 80.75 80.74°
Sites, in units of the cell vectors:
Tb 0.722 0.154 0.402
Tb 0.947 0.677 0.430
Tb 0.613 0.509 0.266
Tb 0.278 0.846 0.598
Tb 0.387 0.491 0.734
Tb 0.053 0.323 0.570
Pr 0.607 0.019 0.767
Pr 0.393 0.981 0.233
Th 0.720 0.652 0.907
Th 0.280 0.348 0.093
Th 0.062 0.809 0.067
Th 0.938 0.191 0.933

Output
Volume in Å³ per cell: 395.8
Crystal system: monoclinic
Energy of formation from the pure elements in eV per atom: 0.0521
Relative energy among the computed polymorphs in eV per atom: 0.0112
Total magnetization in μB per formula unit: 0.00
Space group: No. 12

---

Bi2HPd: optimized geometry, PBE.

Cell: 4.804 4.804 4.804 Å, 60.00 60.00 60.00°
Sites, in units of the cell vectors:
H 0.000 0.000 0.000
Bi 0.250 0.250 0.250
Bi 0.750 0.750 0.750
Pd 0.500 0.500 0.500

Output
Volume in Å³ per cell: 78.4
Crystal system: cubic
Relative energy among the computed polymorphs in eV per atom: 0.0000
Total magnetization in μB per formula unit: 0.00
Space group: No. 225

---

Nd2Sb4Pd: optimized geometry, PBE.

Cell: 4.477 4.477 9.689 Å, 90.00 90.00 90.00°
Sites, in units of the cell vectors:
Nd 0.500 0.000 0.761
Nd 0.000 0.500 0.239
Sb 0.500 0.000 0.144
Sb 0.000 0.500 0.856
Sb 0.500 0.500 0.500
Sb 0.000 0.000 0.500
Pd 0.500 0.500 0.000

Output
Volume in Å³ per cell: 194.2
Raw formation energy in kcal/mol of atoms: -18.82
Crystal system: tetragonal
Total magnetization in μB per formula unit: 0.00
Space group: No. 115

---

LaTmCoAu: optimized geometry, PBE.

Cell: 5.037 5.037 5.037 Å, 60.00 60.00 60.00°
Last column: magnetic moment on the atom in μB.
Sites, in units of the cell vectors:
Co 0.500 0.500 0.500  0.81
Tm 0.750 0.750 0.750  -0.12
Au 0.000 0.000 0.000  0.00
La 0.250 0.250 0.250  -0.05

Output
Volume in Å³ per cell: 90.3
Crystal system: cubic
Energy of formation from the pure elements in eV per atom: -0.3655
Total magnetization in μB per formula unit: 0.57
Space group: No. 216

---

VNi2Pd5: optimized geometry, PBE.

Cell: 3.830 5.429 10.806 Å, 90.00 90.00 90.00°
Last column: magnetic moment on the atom in μB.
Sites, in units of the cell vectors:
V 0.000 0.000 0.500  -0.48
V 0.000 0.500 0.000  -0.48
Ni 0.500 0.253 0.378  0.35
Ni 0.500 0.747 0.622  0.35
Ni 0.500 0.247 0.878  0.35
Ni 0.500 0.753 0.122  0.35
Pd 0.500 0.265 0.119  0.05
Pd 0.500 0.735 0.881  0.05
Pd 0.500 0.765 0.381  0.05
Pd 0.500 0.235 0.619  0.05
Pd 0.000 0.981 0.742  0.05
Pd 0.000 0.019 0.258  0.05
Pd 0.000 0.481 0.758  0.05
Pd 0.000 0.519 0.242  0.05
Pd 0.000 0.500 0.500  0.06
Pd 0.000 0.000 0.000  0.06

Output
Volume in Å³ per cell: 224.7
Crystal system: orthorhombic
Energy of formation from the pure elements in eV per atom: -0.1178
Total magnetization in μB per formula unit: 0.39
Space group: No. 55